# 1
This record from the Alexandria database describes crystalline RbIn3Ag at its relaxed geometry. The functional is PBE-GGA.

## Properties
density	6.1	Mg/m³
V	29.28	A^3/atom
DFT total energy	-48.83	eV/cell
DOS at the Fermi energy	1.34	states/eV/f.u.
energy of formation	-0.03	eV/atom
excess energy over the best structure of this formula in the dataset	33.8	meV per atom

Unit cell a=6.634 b=10.219 c=10.219 alpha=59.34 beta=80.75 gamma=80.75
Sites, in units of the cell vectors:
Ag1 0.214 0.765 0.399
Ag2 0.286 0.601 0.235
Ag3 0.714 0.399 0.765
Ag4 0.786 0.235 0.601
Rb1 0.750 0.640 0.360
Rb2 0.250 0.001 0.999
Rb3 0.750 0.999 0.001
Rb4 0.250 0.360 0.640
In1 0.084 0.655 0.977
In2 0.901 0.019 0.345
In3 0.401 0.345 0.019
In4 0.584 0.977 0.655
In5 0.087 0.321 0.323
In6 0.099 0.981 0.655
In7 0.416 0.023 0.345
In8 0.413 0.677 0.679
In9 0.913 0.679 0.677
In10 0.587 0.323 0.321
In11 0.916 0.345 0.023
In12 0.599 0.655 0.981

# 2
This record from the Alexandria database describes crystalline YPtSe3 at its relaxed geometry. The functional is PBE-GGA.

## Properties
density	7.1	Mg/m³
V	24.45	A^3/atom
DFT total energy	-25.27	eV/cell
DOS at the Fermi energy	2.00	states/eV/f.u.
formation energy (no corrections)	-0.462	eV/atom

Unit cell a=4.963 b=4.963 c=4.963 alpha=90.00 beta=90.00 gamma=90.00
Sites, in units of the cell vectors:
Pt1 0.000 0.000 0.000
Y1 0.500 0.500 0.500
Se1 0.000 0.500 0.000
Se2 0.500 0.000 0.000
Se3 0.000 0.000 0.500

# 3
This record from the Alexandria database describes crystalline CeS2BrO8 at its relaxed geometry. The functional is PBE-GGA.

## Properties
density	3.1	Mg/m³
V	18.60	A^3/atom
DFT total energy	-74.84	eV/cell
DOS at the Fermi energy	7.32	states/eV/f.u.
formation energy (no corrections)	-1.610	eV/atom

Unit cell a=5.829 b=5.829 c=7.584 alpha=90.00 beta=90.00 gamma=120.00
Last column: magnetic moment on the atom in μB.
Sites, in units of the cell vectors:
O1 0.805 0.195 0.147  0.00
O2 0.667 0.333 0.411  0.03
O3 0.195 0.391 0.853  0.00
O4 0.195 0.805 0.853  0.00
O5 0.333 0.667 0.589  0.03
O6 0.805 0.609 0.147  0.00
O7 0.609 0.805 0.853  0.00
O8 0.391 0.195 0.147  0.00
S1 0.667 0.333 0.222  0.00
S2 0.333 0.667 0.778  0.00
Br1 0.000 0.000 0.500  0.66
Ce1 0.000 0.000 0.000  -0.03

# 4
This record from the Alexandria database describes crystalline AlAs3Pt at its relaxed geometry. The functional is PBE-GGA.

## Properties
density	6.2	Mg/m³
V	24.10	A^3/atom
DFT total energy	-20.40	eV/cell
DOS at the Fermi energy	6.02	states/eV/f.u.
energy of formation	0.67	eV/atom
excess energy over the best structure of this formula in the dataset	0.0	meV per atom

Unit cell a=4.939 b=4.939 c=4.939 alpha=90.00 beta=90.00 gamma=90.00
Sites, in units of the cell vectors:
Al1 0.500 0.500 0.500
As1 0.500 0.000 0.000
As2 0.000 0.500 0.000
As3 0.000 0.000 0.500
Pt1 0.000 0.000 0.000